## one
First-principles (PBE) data for an optimized crystal structure of NaTi2Bi2, as listed in the Alexandria database.

Results
V	137.0	Å³ per cell
magnetization	0.0	μB/cell

```
NaTi2Bi2
1.0
-2.902 2.534 -2.230
-2.412 -3.614 -0.968
-6.324 0.357 4.193
Ti Bi Na
2 2 1
Cartesian
-5.697 -1.899 0.813 Ti
-5.942 1.175 0.182 Ti
-8.073 -0.405 1.160 Bi
-3.565 -0.318 -0.165 Bi
0.000 0.000 0.000 Na
```

## two
First-principles (PBE) data for an optimized crystal structure of NaTi2Bi2, as listed in the Alexandria database.

Results
V	239.3	Å³ per cell
magnetization	0.0	μB/cell

```
NaTi2Bi2
1.0
-1.547 -6.428 -4.806
-1.222 -4.649 6.611
-3.477 0.863 -0.036
Bi Na Ti
4 2 4
Cartesian
-0.664 -2.612 1.462 Bi
-1.221 -5.003 -2.111 Bi
-1.548 -6.074 3.916 Bi
-2.106 -8.465 0.343 Bi
0.000 0.000 0.000 Na
-1.385 -5.538 0.902 Na
-2.472 -2.561 -1.004 Ti
-3.553 -6.946 -1.742 Ti
-3.774 -7.652 2.773 Ti
-2.693 -3.267 3.512 Ti
```

The most stable of them is one.

## one
First-principles (PBE) data for an optimized crystal structure of NaTiBi2, as listed in the Alexandria database.

Results
V	100.6	Å³ per cell
magnetization	0.2	μB/cell

```
NaTiBi2
1.0
-1.780 -4.896 -0.335
-3.632 -1.692 3.346
-4.865 -0.901 -1.665
Ti Bi Na
1 2 1
Cartesian
-5.139 -3.744 0.673 Ti
-7.708 -5.617 1.010 Bi
-2.569 -1.872 0.337 Bi
0.000 0.000 0.000 Na
```

## two
First-principles (PBE) data for an optimized crystal structure of NaTiBi2, as listed in the Alexandria database.

Results
V	110.4	Å³ per cell
magnetization	0.0	μB/cell

```
NaTiBi2
1.0
3.805 0.010 0.024
1.890 3.302 0.024
1.857 1.080 8.815
Bi Na Ti
2 1 1
Cartesian
1.890 1.099 1.918 Bi
5.661 3.292 6.945 Bi
3.776 2.196 4.432 Na
0.000 0.000 0.000 Ti
```

The most stable of them is two.

## one
First-principles (PBE) data for an optimized crystal structure of NaTiBi2, as listed in the Alexandria database.

Results
V	110.9	Å³ per cell
magnetization	0.0	μB/cell

```
NaTiBi2
1.0
-2.124 -2.794 -1.478
1.164 -3.617 0.258
-4.584 -2.961 7.281
Bi Na Ti
2 1 1
Cartesian
-3.668 -2.784 5.628 Bi
-1.238 -2.314 1.249 Bi
-2.768 -4.685 3.024 Na
-0.642 -4.274 -0.809 Ti
```

## two
First-principles (PBE) data for an optimized crystal structure of NaTiBi2, as listed in the Alexandria database.

Results
V	105.0	Å³ per cell
magnetization	1.3	μB/cell

```
NaTiBi2
1.0
3.482 0.000 0.000
0.000 3.482 0.000
0.000 0.000 8.658
Ti Bi Na
1 2 1
Cartesian
1.741 1.741 0.000 Ti
0.000 0.000 6.787 Bi
0.000 0.000 1.872 Bi
1.741 1.741 4.329 Na
```

## three
First-principles (PBE) data for an optimized crystal structure of NaTiBi2, as listed in the Alexandria database.

Results
V	320.8	Å³ per cell
magnetization	0.0	μB/cell

```
NaTiBi2
1.0
6.288 0.000 0.000
0.000 6.288 0.000
3.144 3.144 8.113
Bi Na Ti
4 2 2
Cartesian
4.716 3.975 6.085 Bi
0.831 4.716 2.028 Bi
5.457 1.572 2.028 Bi
7.860 8.601 6.085 Bi
3.144 6.288 4.057 Na
3.144 3.144 0.000 Na
6.288 3.144 4.057 Ti
0.000 0.000 0.000 Ti
```

The most stable of them is two.

## one
First-principles (PBE) data for an optimized crystal structure of NaTl3Bi3, as listed in the Alexandria database.

Results
V	642.5	Å³ per cell
magnetization	0.0	μB/cell

```
NaTl3Bi3
1.0
8.629 0.000 0.000
0.000 8.629 0.000
0.000 0.000 8.629
Na Tl Bi
2 6 6
Cartesian
4.315 4.315 4.315 Na
0.000 0.000 0.000 Na
4.315 6.472 0.000 Tl
4.315 2.157 0.000 Tl
0.000 4.315 2.157 Tl
0.000 4.315 6.472 Tl
2.157 0.000 4.315 Tl
6.472 0.000 4.315 Tl
4.315 0.000 6.472 Bi
0.000 2.157 4.315 Bi
0.000 6.472 4.315 Bi
2.157 4.315 0.000 Bi
4.315 0.000 2.157 Bi
6.472 4.315 0.000 Bi
```

## two
First-principles (PBE) data for an optimized crystal structure of NaTl3Bi3, as listed in the Alexandria database.

Results
V	440.9	Å³ per cell
magnetization	0.0	μB/cell

```
NaTl3Bi3
1.0
-0.377 -3.459 4.514
6.807 -5.467 -3.621
2.250 7.194 5.702
Bi Tl Na
6 6 2
Cartesian
3.364 -1.141 4.804 Bi
5.315 -0.591 1.791 Bi
3.472 -2.721 0.004 Bi
5.207 0.989 6.590 Bi
1.886 1.291 6.544 Bi
6.793 -3.022 0.050 Bi
7.237 1.875 3.841 Tl
1.992 4.676 5.550 Tl
1.442 -3.607 2.754 Tl
6.885 -1.508 4.817 Tl
1.794 -0.224 1.777 Tl
6.687 -6.408 1.045 Tl
3.674 2.109 3.723 Na
5.005 -3.841 2.872 Na
```

The most stable of them is two.

## one
First-principles (PBE) data for an optimized crystal structure of Na3Tl2Bi2, as listed in the Alexandria database.

Results
V	230.1	Å³ per cell
magnetization	0.0	μB/cell

```
Na3Tl2Bi2
1.0
-2.143 -3.740 2.977
5.586 -0.470 -1.179
-1.443 6.277 6.847
Na Bi Tl
3 2 2
Cartesian
2.616 2.013 4.412 Na
-1.072 -1.870 1.489 Na
-0.616 0.053 4.233 Na
0.262 1.697 6.931 Bi
1.738 0.369 1.715 Bi
-0.144 4.742 5.854 Tl
2.143 -2.676 2.791 Tl
```

## two
First-principles (PBE) data for an optimized crystal structure of Na3Tl2Bi2, as listed in the Alexandria database.

Results
V	455.4	Å³ per cell
magnetization	0.0	μB/cell

```
Na3Tl2Bi2
1.0
-1.873 -1.257 5.058
-0.972 -11.620 -3.247
6.381 -1.108 2.053
Bi Tl Na
4 4 6
Cartesian
3.142 -3.552 4.564 Bi
0.394 -10.432 -0.699 Bi
0.712 -4.468 0.422 Bi
2.824 -9.517 3.442 Bi
0.016 -3.333 3.395 Tl
3.520 -10.651 0.469 Tl
-0.488 -9.308 2.367 Tl
4.024 -4.676 1.497 Tl
0.000 0.000 0.000 Na
2.494 -1.836 1.830 Na
4.434 -6.771 4.337 Na
1.768 -6.992 1.932 Na
-0.898 -7.213 -0.473 Na
1.042 -12.148 2.034 Na
```

The most stable of them is one.

## one
First-principles (PBE) data for an optimized crystal structure of Na3Tl6Bi, as listed in the Alexandria database.

Results
V	400.4	Å³ per cell
magnetization	0.0	μB/cell

```
Na3Tl6Bi
1.0
-3.272 -0.234 -1.455
3.516 -10.348 -3.291
-3.570 1.457 10.742
Bi Tl Na
1 6 3
Cartesian
-1.650 -0.118 -0.734 Bi
-0.750 -5.252 -2.715 Tl
-3.704 0.960 7.173 Tl
-2.096 -2.679 1.195 Tl
-0.897 -4.592 3.410 Tl
-4.225 0.538 4.169 Tl
1.365 -7.485 -2.866 Tl
0.553 -2.567 -0.948 Na
-2.819 -6.903 4.383 Na
-1.189 0.336 2.504 Na
```

## two
First-principles (PBE) data for an optimized crystal structure of Na3Tl6Bi, as listed in the Alexandria database.

Results
V	632.9	Å³ per cell
magnetization	0.0	μB/cell

```
Na3Tl6Bi
1.0
-2.185 -0.139 -4.363
-11.162 -3.259 5.694
5.548 12.002 -3.162
Bi Na Tl
2 6 12
Cartesian
1.759 8.320 -5.243 Bi
-9.558 0.284 3.412 Bi
-3.817 1.287 -2.226 Na
-6.748 3.613 -0.832 Na
-5.325 0.755 1.278 Na
-2.474 7.848 -3.108 Na
-1.051 4.990 -0.998 Na
-3.982 7.316 0.395 Na
-10.718 -2.227 1.343 Tl
2.919 10.830 -3.173 Tl
-4.199 5.223 -2.160 Tl
-3.600 3.380 0.330 Tl
-7.683 2.978 2.388 Tl
-8.593 0.447 0.193 Tl
0.794 8.156 -2.024 Tl
-7.379 -1.963 2.393 Tl
-0.420 10.566 -4.223 Tl
-0.623 1.406 -1.098 Tl
-0.116 5.626 -4.218 Tl
-7.176 7.198 -0.732 Tl
```

The most stable of them is two.